Below is a relaxed structure of MgAg2TeO6, with properties calculated at the PBE level.

Cell lengths 5.544, 5.544, 5.544 Å; angles 60.00, 60.00, 60.00 degrees
Atoms (fractional coordinates):
Ag  0.250  0.250  0.250
Ag  0.750  0.750  0.750
Mg  0.500  0.500  0.500
O  0.756  0.244  0.244
O  0.244  0.756  0.244
O  0.756  0.756  0.244
O  0.244  0.244  0.756
O  0.756  0.244  0.756
O  0.244  0.756  0.756
Te  0.000  0.000  0.000

Output
- theoretical density (Mg/m³) = 6.39
- calculated total energy (eV per atom) = -4.76
- calculated volume (Å³ per atom) = 12.05